1.
Here is BaNa2LiHg after structural relaxation from the Alexandria database. Energies are from PBE-GGA. Values from VASP.

Properties
- SG = P4/mmm (123)
- excess energy over the best structure of this formula in the dataset (eV per atom) = 0.0233
- formation energy from the elements (meV/atom) = -48
- electronic total energy (eV per atom) = -1.403

The structure in Quantum ESPRESSO input format:
```
&SYSTEM
  ibrav = 0, nat = 5, ntyp = 4
/
ATOMIC_SPECIES
Ba 137.33 Ba.upf
Na 22.99 Na.upf
Hg 200.59 Hg.upf
Li 6.94 Li.upf
CELL_PARAMETERS angstrom
5.839 0.000 0.000
0.000 5.839 0.000
0.000 0.000 5.445
ATOMIC_POSITIONS crystal
Ba 0.500 0.500 0.500
Na 0.500 0.000 0.000
Na 0.000 0.500 0.000
Hg 0.000 0.000 0.000
Li 0.000 0.000 0.500
```

2.
Here is BaLi2NdHg4 after structural relaxation from the Alexandria database. Energies are from PBE-GGA. Values from VASP.

Properties
- SG = R-3m (166)
- formation energy from the elements (meV/atom) = -413
- electronic total energy (eV per atom) = -1.879

The structure in Quantum ESPRESSO input format:
```
&SYSTEM
  ibrav = 0, nat = 8, ntyp = 4
/
ATOMIC_SPECIES
Nd 144.24 Nd.upf
Li 6.94 Li.upf
Hg 200.59 Hg.upf
Ba 137.33 Ba.upf
CELL_PARAMETERS angstrom
5.071 0.000 0.000
2.535 4.391 0.000
2.535 1.464 9.779
ATOMIC_POSITIONS crystal
Nd 0.500 0.500 0.500
Li 0.236 0.236 0.293
Hg 0.605 0.605 0.185
Ba 0.000 0.000 0.000
Hg 0.878 0.878 0.367
Li 0.764 0.764 0.707
Hg 0.395 0.395 0.815
Hg 0.122 0.122 0.633
```

3.
Here is Ba2LiNdHg6 after structural relaxation from the Alexandria database. Energies are from PBE-GGA. Values from VASP.

Properties
- SG = P-1 (2)
- formation energy from the elements (meV/atom) = -377
- electronic total energy (eV per atom) = -1.611

The structure in Quantum ESPRESSO input format:
```
&SYSTEM
  ibrav = 0, nat = 10, ntyp = 4
/
ATOMIC_SPECIES
Hg 200.59 Hg.upf
Li 6.94 Li.upf
Ba 137.33 Ba.upf
Nd 144.24 Nd.upf
CELL_PARAMETERS angstrom
-9.073 0.389 -3.843
-0.813 -7.561 0.692
-4.076 -3.309 3.091
ATOMIC_POSITIONS crystal
Hg 0.309 0.884 0.758
Hg 0.691 0.116 0.242
Li 0.000 0.000 0.000
Hg 0.596 0.777 0.190
Hg 0.404 0.223 0.810
Ba 0.180 0.616 0.563
Hg 0.143 0.182 0.367
Ba 0.820 0.384 0.437
Nd 0.500 0.500 0.000
Hg 0.857 0.818 0.633
```

4.
Here is Ba2LiNiHg after structural relaxation from the Alexandria database. Energies are from PBE-GGA. Values from VASP.

Properties
- SG = P4/mmm (123)
- excess energy over the best structure of this formula in the dataset (eV per atom) = 0.0000
- formation energy from the elements (meV/atom) = -73
- electronic total energy (eV per atom) = -2.442

The structure in Quantum ESPRESSO input format:
```
&SYSTEM
  ibrav = 0, nat = 5, ntyp = 4
/
ATOMIC_SPECIES
Hg 200.59 Hg.upf
Ba 137.33 Ba.upf
Ni 58.69 Ni.upf
Li 6.94 Li.upf
CELL_PARAMETERS angstrom
5.971 0.000 0.000
0.000 5.971 0.000
0.000 0.000 4.823
ATOMIC_POSITIONS crystal
Hg 0.500 0.500 0.500
Ba 0.000 0.500 0.000
Ni 0.000 0.000 0.000
Ba 0.500 0.000 0.000
Li 0.000 0.000 0.500
```

5.
Here is BaLiNiHg2 after structural relaxation from the Alexandria database. Energies are from PBE-GGA. Values from VASP.

Properties
- SG = P4/mmm (123)
- excess energy over the best structure of this formula in the dataset (eV per atom) = 0.0000
- formation energy from the elements (meV/atom) = -189
- electronic total energy (eV per atom) = -2.234

The structure in Quantum ESPRESSO input format:
```
&SYSTEM
  ibrav = 0, nat = 5, ntyp = 4
/
ATOMIC_SPECIES
Ba 137.33 Ba.upf
Hg 200.59 Hg.upf
Li 6.94 Li.upf
Ni 58.69 Ni.upf
CELL_PARAMETERS angstrom
5.170 0.000 0.000
0.000 5.170 0.000
0.000 0.000 4.842
ATOMIC_POSITIONS crystal
Ba 0.500 0.500 0.500
Hg 0.500 0.000 0.000
Hg 0.000 0.500 0.000
Li 0.000 0.000 0.500
Ni 0.000 0.000 0.000
```

6.
Here is BaLiNiHg2 after structural relaxation from the Alexandria database. Energies are from PBE-GGA. Values from VASP.

Properties
- SG = P4/mmm (123)
- excess energy over the best structure of this formula in the dataset (eV per atom) = 0.8153
- formation energy from the elements (meV/atom) = 626
- electronic total energy (eV per atom) = -1.418

The structure in Quantum ESPRESSO input format:
```
&SYSTEM
  ibrav = 0, nat = 5, ntyp = 4
/
ATOMIC_SPECIES
Hg 200.59 Hg.upf
Li 6.94 Li.upf
Ni 58.69 Ni.upf
Ba 137.33 Ba.upf
CELL_PARAMETERS angstrom
-3.701 -1.400 -5.117
1.662 -4.978 0.160
-4.894 -1.507 3.952
ATOMIC_POSITIONS crystal
Hg 0.500 0.000 0.000
Li 0.500 0.500 0.500
Hg 0.000 0.000 0.500
Ni 0.000 0.500 0.000
Ba 0.000 0.000 0.000
```